(1)
First-principles (GGA-PBE) data for an optimized crystal structure of FeAgAu4, as listed in Alexandria.

Values from the calculation:
DOS(E_F): 4.2 states/eV per cell
Crystal system: cubic
Formation enthalpy at 0 K: 0.32 eV per atom
VASP energy: -3.749 eV per atom
Total magnetization: 3.228 μB/f.u.

abc: 5.4538 5.4538 5.4538
angles: 60.00 60.00 60.00
Closest atoms and distances in Å follow each position.
Positions (direct):
Fe 0.0000 0.0000 0.0000  12 Au 3.20, 4 Ag 3.34
Ag 0.7500 0.7500 0.7500  12 Au 3.20, 4 Fe 3.34
Au 0.3749 0.3749 0.3749  6 Au 2.73
Au 0.3749 0.3749 0.8753  6 Au 2.73
Au 0.3749 0.8753 0.3749  6 Au 2.73
Au 0.8753 0.3749 0.3749  6 Au 2.73


(2)
First-principles (GGA-PBE) data for an optimized crystal structure of FeAgAu, as listed in Alexandria.

Values from the calculation:
DOS(E_F): 3.3 states/eV per cell
Crystal system: cubic
Formation enthalpy at 0 K: 0.48 eV per atom
VASP energy: -4.387 eV per atom
Total magnetization: 3.181 μB/f.u.
Energy above the most stable polymorph in this dataset: 314 meV per atom

abc: 4.3051 4.3051 4.3051
angles: 60.00 60.00 60.00
Closest atoms and distances in Å follow each position.
Positions (direct):
Fe 0.0000 0.0000 0.0000  4 Au 2.64, 4 Ag 2.64
Ag 0.2500 0.2500 0.2500  4 Fe 2.64
Au 0.7500 0.7500 0.7500  4 Fe 2.64


(3)
First-principles (GGA-PBE) data for an optimized crystal structure of FeAg2Au, as listed in Alexandria.

Values from the calculation:
DOS(E_F): 2.9 states/eV per cell
Crystal system: monoclinic
Formation enthalpy at 0 K: 0.20 eV per atom
VASP energy: -4.157 eV per atom
Total magnetization: 3.010 μB/f.u.
Energy above the most stable polymorph in this dataset: 49 meV per atom

abc: 5.0104 5.0104 4.9146
angles: 99.38 99.38 33.06
Closest atoms and distances in Å follow each position.
Positions (direct):
Fe 0.0000 0.0000 0.0000  6 Ag 2.84-2.90, 4 Au 2.84, 2 Fe 2.85
Ag 0.2550 0.2550 0.7573  6 Ag 2.79-2.89, 3 Fe 2.84-2.90, 3 Au 2.86-2.93
Ag 0.7450 0.7450 0.2427  6 Ag 2.79-2.89, 3 Fe 2.84-2.90, 3 Au 2.86-2.93
Au 0.5000 0.5000 0.5000  4 Fe 2.84, 2 Au 2.85, 6 Ag 2.86-2.93


(4)
First-principles (GGA-PBE) data for an optimized crystal structure of FeAg2Au, as listed in Alexandria.

Values from the calculation:
DOS(E_F): 3.0 states/eV per cell
Crystal system: orthorhombic
Formation enthalpy at 0 K: 0.15 eV per atom
VASP energy: -4.206 eV per atom
Total magnetization: 2.922 μB/f.u.
Energy above the most stable polymorph in this dataset: 0 meV per atom

abc: 2.8474 2.8474 8.1768
angles: 90.00 90.00 90.15
Closest atoms and distances in Å follow each position.
Positions (direct):
Fe 0.0000 0.0000 0.0000  4 Au 2.74, 4 Ag 2.79, 4 Fe 2.85
Ag 0.0000 0.0000 0.5021  8 Ag 2.85-2.96, 4 Au 2.99
Ag 0.5000 0.5000 0.2367  4 Fe 2.79, 8 Ag 2.85-2.96
Au 0.5000 0.5000 0.7724  4 Fe 2.74, 4 Au 2.85, 4 Ag 2.99


(5)
First-principles (GGA-PBE) data for an optimized crystal structure of FeAg2Au, as listed in Alexandria.

Values from the calculation:
DOS(E_F): 3.3 states/eV per cell
Crystal system: trigonal
Formation enthalpy at 0 K: 0.21 eV per atom
VASP energy: -4.152 eV per atom
Total magnetization: 3.071 μB/f.u.
Energy above the most stable polymorph in this dataset: 54 meV per atom

abc: 9.3718 9.3718 9.3718
angles: 17.78 17.78 17.78
Closest atoms and distances in Å follow each position.
Positions (direct):
Fe 0.0000 0.0000 0.0000  3 Au 2.72, 3 Ag 2.77, 6 Fe 2.90
Ag 0.5008 0.5008 0.5008  9 Ag 2.90-2.94, 3 Au 2.96
Ag 0.7465 0.7465 0.7465  3 Fe 2.77, 9 Ag 2.90-2.94
Au 0.2560 0.2560 0.2560  3 Fe 2.72, 6 Au 2.90, 3 Ag 2.96


(6)
First-principles (GGA-PBE) data for an optimized crystal structure of FeAgAu2, as listed in Alexandria.

Values from the calculation:
DOS(E_F): 3.0 states/eV per cell
Crystal system: tetragonal
Formation enthalpy at 0 K: 0.06 eV per atom
VASP energy: -4.405 eV per atom
Total magnetization: 3.003 μB/f.u.
Energy above the most stable polymorph in this dataset: 0 meV per atom

abc: 2.8691 2.8691 8.0761
angles: 90.00 90.00 90.00
Closest atoms and distances in Å follow each position.
Positions (direct):
Fe 0.0000 0.0000 0.0000  8 Au 2.75, 4 Fe 2.87
Ag 0.0000 0.0000 0.5000  4 Ag 2.87, 8 Au 2.98
Au 0.5000 0.5000 0.2295  4 Fe 2.75, 4 Au 2.87, 4 Ag 2.98
Au 0.5000 0.5000 0.7705  4 Fe 2.75, 4 Au 2.87, 4 Ag 2.98


(7)
First-principles (GGA-PBE) data for an optimized crystal structure of FeAgAu, as listed in Alexandria.

Values from the calculation:
DOS(E_F): 2.1 states/eV per cell
Crystal system: orthorhombic
Formation enthalpy at 0 K: 0.22 eV per atom
VASP energy: -4.643 eV per atom
Total magnetization: 3.094 μB/f.u.
Energy above the most stable polymorph in this dataset: 58 meV per atom

abc: 4.9251 4.9251 4.9251
angles: 146.01 132.96 59.30
Closest atoms and distances in Å follow each position.
Positions (direct):
Fe 0.0000 0.0000 0.0000  5 Au 2.79-2.92, 5 Ag 2.82-2.86, 2 Fe 2.88
Ag 0.6663 0.6663 0.0000  5 Au 2.78-2.86, 5 Fe 2.82-2.86, 2 Ag 2.88
Au 0.3415 0.3415 0.0000  5 Ag 2.78-2.86, 5 Fe 2.79-2.92, 2 Au 2.88


(8)
First-principles (GGA-PBE) data for an optimized crystal structure of FeAg2Au, as listed in Alexandria.

Values from the calculation:
DOS(E_F): 2.9 states/eV per cell
Crystal system: orthorhombic
Formation enthalpy at 0 K: 0.24 eV per atom
VASP energy: -4.122 eV per atom
Total magnetization: 3.008 μB/f.u.
Energy above the most stable polymorph in this dataset: 85 meV per atom

abc: 2.8450 4.8080 4.9237
angles: 90.00 90.00 90.00
Closest atoms and distances in Å follow each position.
Positions (direct):
Fe 0.0000 0.0000 0.0000  4 Au 2.79, 4 Ag 2.84, 2 Fe 2.85
Ag 0.0000 0.5000 0.5000  6 Ag 2.79-2.85, 4 Au 2.84
Ag 0.5000 0.0000 0.5000  6 Ag 2.79-2.85, 4 Fe 2.84
Au 0.5000 0.5000 0.0000  4 Fe 2.79, 4 Ag 2.84, 2 Au 2.85


(9)
First-principles (GGA-PBE) data for an optimized crystal structure of Fe3AgAu, as listed in Alexandria.

Values from the calculation:
DOS(E_F): 6.5 states/eV per cell
Crystal system: cubic
Formation enthalpy at 0 K: 1.33 eV per atom
VASP energy: -4.975 eV per atom
Total magnetization: 9.590 μB/f.u.
Energy above the most stable polymorph in this dataset: 0 meV per atom

abc: 4.7506 4.7506 4.7506
angles: 90.00 90.00 90.00
Closest atoms and distances in Å follow each position.
Positions (direct):
Fe 0.0000 0.0000 0.5000  2 Au 2.38
Fe 0.0000 0.5000 0.0000  2 Au 2.38
Fe 0.5000 0.0000 0.0000  2 Au 2.38
Ag 0.5000 0.5000 0.5000  12 Fe 3.36
Au 0.0000 0.0000 0.0000  6 Fe 2.38


(10)
First-principles (GGA-PBE) data for an optimized crystal structure of Fe4AgAu, as listed in Alexandria.

Values from the calculation:
DOS(E_F): 6.2 states/eV per cell
Crystal system: cubic
Formation enthalpy at 0 K: 0.22 eV per atom
VASP energy: -6.441 eV per atom
Total magnetization: 10.796 μB/f.u.

abc: 4.9158 4.9158 4.9158
angles: 60.00 60.00 60.00
Closest atoms and distances in Å follow each position.
Positions (direct):
Fe 0.1252 0.1252 0.1252  6 Fe 2.45-2.46
Fe 0.1252 0.1252 0.6245  6 Fe 2.45-2.46
Fe 0.1252 0.6245 0.1252  6 Fe 2.45-2.46
Fe 0.6245 0.1252 0.1252  6 Fe 2.45-2.46
Ag 0.5000 0.5000 0.5000  12 Fe 2.88, 4 Au 3.01
Au 0.7500 0.7500 0.7500  12 Fe 2.88, 4 Ag 3.01


(11)
First-principles (GGA-PBE) data for an optimized crystal structure of FeAg2Au, as listed in Alexandria.

Values from the calculation:
DOS(E_F): 2.9 states/eV per cell
Crystal system: tetragonal
Formation enthalpy at 0 K: 0.21 eV per atom
VASP energy: -4.154 eV per atom
Total magnetization: 2.921 μB/f.u.
Energy above the most stable polymorph in this dataset: 53 meV per atom

abc: 2.8295 2.8295 8.2959
angles: 90.00 90.00 90.00
Closest atoms and distances in Å follow each position.
Positions (direct):
Fe 0.0000 0.0000 0.0000  8 Ag 2.79, 4 Fe 2.83
Ag 0.5000 0.5000 0.2341  4 Fe 2.79, 4 Ag 2.83, 4 Au 2.98
Ag 0.5000 0.5000 0.7659  4 Fe 2.79, 4 Ag 2.83, 4 Au 2.98
Au 0.0000 0.0000 0.5000  4 Au 2.83, 8 Ag 2.98


(12)
First-principles (GGA-PBE) data for an optimized crystal structure of FeAg2Au, as listed in Alexandria.

Values from the calculation:
DOS(E_F): 3.0 states/eV per cell
Crystal system: cubic
Formation enthalpy at 0 K: 0.30 eV per atom
VASP energy: -4.062 eV per atom
Total magnetization: 3.044 μB/f.u.
Energy above the most stable polymorph in this dataset: 144 meV per atom

abc: 4.5622 4.5622 4.5622
angles: 60.00 60.00 60.00
Closest atoms and distances in Å follow each position.
Positions (direct):
Fe 0.0000 0.0000 0.0000  8 Ag 2.79
Ag 0.2500 0.2500 0.2500  4 Fe 2.79, 4 Au 2.79
Ag 0.7500 0.7500 0.7500  4 Fe 2.79, 4 Au 2.79
Au 0.5000 0.5000 0.5000  8 Ag 2.79


(13)
First-principles (GGA-PBE) data for an optimized crystal structure of FeAgAu2, as listed in Alexandria.

Values from the calculation:
DOS(E_F): 3.1 states/eV per cell
Crystal system: orthorhombic
Formation enthalpy at 0 K: 0.16 eV per atom
VASP energy: -4.305 eV per atom
Total magnetization: 3.021 μB/f.u.
Energy above the most stable polymorph in this dataset: 100 meV per atom

abc: 2.8443 3.9419 5.9892
angles: 90.00 90.00 90.00
Closest atoms and distances in Å follow each position.
Positions (direct):
Fe 0.0000 0.0000 0.0000  6 Au 2.76-3.02, 2 Fe 2.84, 4 Ag 2.85
Ag 0.5000 0.5000 0.2492  5 Au 2.81-2.87, 2 Ag 2.84, 4 Fe 2.85
Au 0.0000 0.0000 0.5040  6 Au 2.84-2.94, 4 Ag 2.87, 2 Fe 2.97-3.02
Au 0.5000 0.5000 0.7807  4 Fe 2.76, 1 Ag 2.81, 6 Au 2.84-2.94


(14)
First-principles (GGA-PBE) data for an optimized crystal structure of FeAgAu2, as listed in Alexandria.

Values from the calculation:
DOS(E_F): 5.0 states/eV per cell
Crystal system: tetragonal
Formation enthalpy at 0 K: 0.41 eV per atom
VASP energy: -4.053 eV per atom
Total magnetization: 3.279 μB/f.u.
Energy above the most stable polymorph in this dataset: 352 meV per atom

abc: 9.9907 9.9907 9.9907
angles: 157.43 157.43 32.13
Closest atoms and distances in Å follow each position.
Positions (direct):
Fe 0.0000 0.0000 0.0000  4 Au 2.76, 4 Ag 2.76
Fe 0.7500 0.2500 0.5000  4 Au 2.76, 4 Ag 2.76
Ag 0.2500 0.7500 0.5000  4 Fe 2.76, 4 Au 2.78
Ag 0.5000 0.5000 0.0000  4 Fe 2.76, 4 Au 2.78
Au 0.1210 0.6250 0.9960  4 Au 2.74-2.79, 2 Fe 2.76, 2 Ag 2.78
Au 0.3750 0.3710 0.4960  4 Au 2.74-2.79, 2 Fe 2.76, 2 Ag 2.78
Au 0.6290 0.1250 0.0040  4 Au 2.74-2.79, 2 Fe 2.76, 2 Ag 2.78
Au 0.8750 0.8790 0.5040  4 Au 2.74-2.79, 2 Fe 2.76, 2 Ag 2.78


(15)
First-principles (GGA-PBE) data for an optimized crystal structure of FeAg2Au, as listed in Alexandria.

Values from the calculation:
DOS(E_F): 3.4 states/eV per cell
Crystal system: orthorhombic
Formation enthalpy at 0 K: 0.24 eV per atom
VASP energy: -4.122 eV per atom
Total magnetization: 3.009 μB/f.u.
Energy above the most stable polymorph in this dataset: 85 meV per atom

abc: 5.6153 5.6153 5.6153
angles: 150.27 129.68 59.54
Closest atoms and distances in Å follow each position.
Positions (direct):
Fe 0.0000 0.0000 0.0000  4 Ag 2.74, 4 Au 2.79, 2 Fe 2.88
Ag 0.2391 0.7391 0.5000  2 Fe 2.74, 6 Ag 2.80-2.88, 2 Au 2.92
Ag 0.7609 0.2609 0.5000  2 Fe 2.74, 6 Ag 2.80-2.88, 2 Au 2.92
Au 0.5000 0.5000 0.0000  4 Fe 2.79, 2 Au 2.88, 4 Ag 2.92